First-principles (PBE-GGA) data for a geometry-optimized LaTbDyTh structure, as listed in the Alexandria database.

Cell and atoms, written as extended XYZ:
```
4
Lattice="5.7304 0.0000 0.0000 2.8652 4.9627 0.0000 2.8652 1.6542 4.6789" Properties=species:S:1:pos:R:3 pbc="T T T"
La 2.8652 1.6542 1.1697
Th 8.5957 4.9627 3.5092
Tb 5.7304 3.3085 2.3394
Dy 0.0000 0.0000 0.0000
```

Properties
* DFT formation energy: 0.130 eV/atom
* space-group type: F-43m, No. 216
* M_tot: 0.00 Bohr magnetons per cell
* electronic total energy: -0.193 Ha/atom
* calculated density: 8.6 g/cm3